A) Tb4Sm7In after structural relaxation. Source: Alexandria via LeMat-Bulk, functional PBE.

Properties
Volume = 402.3 Å³ per cell
Space group = C2/m, No. 12
DOS(E_F) = 17.8 states/eV per cell

The structure in POSCAR format:
```
Tb4Sm7In
1.0
8.065 -3.002 0.000
8.065 3.002 0.000
-4.067 0.000 8.309
Tb Sm In
4 7 1
Direct
0.093 0.093 0.470 Tb
0.219 0.219 0.251 Tb
0.781 0.781 0.749 Tb
0.907 0.907 0.530 Tb
0.000 0.000 0.000 Sm
0.221 0.221 0.886 Sm
0.343 0.343 0.630 Sm
0.429 0.429 0.276 Sm
0.571 0.571 0.724 Sm
0.657 0.657 0.370 Sm
0.779 0.779 0.114 Sm
0.500 0.500 0.000 In
```

=====

B) Tb4Sm7In after structural relaxation. Source: Alexandria via LeMat-Bulk, functional PBE.

Properties
Volume = 410.6 Å³ per cell
Space group = C2/m, No. 12
DOS(E_F) = 18.5 states/eV per cell

The structure in POSCAR format:
```
Tb4Sm7In
1.0
6.086 -2.983 0.000
6.086 2.983 0.000
-5.627 0.000 11.309
Tb Sm In
4 7 1
Direct
0.139 0.139 0.271 Tb
0.349 0.349 0.873 Tb
0.651 0.651 0.127 Tb
0.861 0.861 0.729 Tb
0.000 0.000 0.500 Sm
0.132 0.132 0.976 Sm
0.298 0.298 0.579 Sm
0.405 0.405 0.225 Sm
0.595 0.595 0.775 Sm
0.702 0.702 0.421 Sm
0.868 0.868 0.024 Sm
0.500 0.500 0.500 In
```

=====

Short version: B) is the least stable of them.

=====

A) Tb4SmIn2 after structural relaxation. Source: Alexandria via LeMat-Bulk, functional PBE.

Properties
Volume = 238.6 Å³ per cell
Space group = R-3m, No. 166
DOS(E_F) = 10.0 states/eV per cell

The structure in POSCAR format:
```
Tb4SmIn2
1.0
2.566 1.482 10.455
-2.566 1.482 10.455
0.000 -2.963 10.455
Tb Sm In
4 1 2
Direct
0.108 0.108 0.108 Tb
0.297 0.297 0.297 Tb
0.703 0.703 0.703 Tb
0.892 0.892 0.892 Tb
0.500 0.500 0.500 Sm
0.400 0.400 0.400 In
0.600 0.600 0.600 In
```

=====

B) Tb4SmIn2 after structural relaxation. Source: Alexandria via LeMat-Bulk, functional PBE.

Properties
Volume = 434.6 Å³ per cell
Space group = P2_1/c, No. 14
DOS(E_F) = 15.4 states/eV per cell

The structure in POSCAR format:
```
Tb4SmIn2
1.0
6.342 0.000 0.000
0.000 10.876 0.000
-2.639 0.000 6.300
Tb Sm In
8 2 4
Direct
0.004 0.167 0.000 Tb
0.004 0.333 0.500 Tb
0.495 0.720 0.999 Tb
0.495 0.780 0.499 Tb
0.505 0.220 0.501 Tb
0.505 0.280 0.001 Tb
0.996 0.667 0.500 Tb
0.996 0.833 0.000 Tb
0.000 0.000 0.500 Sm
0.000 0.500 0.000 Sm
0.454 0.501 0.692 In
0.454 0.999 0.192 In
0.546 0.001 0.808 In
0.546 0.499 0.308 In
```

=====

Short version: A) is the least stable of them.